Density functional theory data (PBE) for a relaxed structure of Zn4FeCu.

The density of states at the Fermi level is 2.25 states/eV/f.u. The calculation puts the raw total energy at -2.93 eV per atom.

The space group is Cmmm (No. 65) and the conventional cell measures 3.8923, 10.6293 and 3.9200 Å, with angles of 90.00, 90.00 and 90.00 degrees. The inequivalent atoms are Zn at (0.0000, 0.1556, 0.0000), Zn at (0.0000, 0.3374, 0.5000), Fe at (0.0000, 0.0000, 0.5000) and Cu at (0.0000, 0.5000, 0.0000).

---

Density functional theory data (PBE) for a relaxed structure of Ac5Pr2YEr.

The density of states at the Fermi level is 12.54 states/eV/f.u. The calculation puts the raw total energy at -4.44 eV per atom.

The space group is Cmcm (No. 63) and the conventional cell measures 5.8318, 22.7945 and 11.0776 Å, with angles of 90.00, 90.00 and 90.00 degrees. The inequivalent atoms are Ac at (0.0000, 0.0000, 0.0000), Ac at (0.0000, 0.1310, 0.2500), Ac at (0.0000, 0.2189, 0.5636), Ac at (0.0000, 0.4974, 0.2500), Pr at (0.0000, 0.3858, 0.5065), Y at (0.0000, 0.0995, 0.7500) and Er at (0.0000, 0.3027, 0.2500).

---

Density functional theory data (PBE) for a relaxed structure of Li4ZnIn.

The density of states at the Fermi level is 2.26 states/eV/f.u. The calculation puts the raw total energy at -2.11 eV per atom.

The space group is C2/m (No. 12) and the conventional cell measures 12.5815, 7.1878 and 4.9144 Å, with angles of 90.00, 103.83 and 90.00 degrees. The inequivalent atoms are Li at (0.0000, 0.1852, 0.0000), Li at (0.1297, 0.1897, 0.5925), Li at (0.1611, 0.5000, 0.2755), Zn at (0.0476, 0.5000, 0.7542) and In at (0.2148, 0.0000, 0.1405).

---

Density functional theory data (PBE) for a relaxed structure of YHo2Hg.

The density of states at the Fermi level is 5.20 states/eV/f.u. The calculation puts the raw total energy at -4.14 eV per atom.

The space group is R3m (No. 160, hexagonal axes) and the conventional cell measures 3.6414, 3.6414 and 31.2854 Å, with angles of 90.00, 90.00 and 120.00 degrees. The inequivalent atoms are Y at (0.0000, 0.0000, 0.0000), Ho at (0.0000, 0.0000, 0.2423), Ho at (0.0000, 0.0000, 0.4244) and Hg at (0.0000, 0.0000, 0.8336).

---

What formation energy from the elements values result from the calculations? In sequence: 10.6; 130.4; -165.1; -161.6 meV/atom.